(1)
Material: LiMo2Cl
Method: DFT, GGA-PBE
State: relaxed

Values from the calculation:
theoretical density: 6.97 g/cm³
DOS at the Fermi energy: 5.878 states/eV per cell
calculated volume: 14.0 Å³ per atom
formation energy (no corrections): 1076 meV/atom

The structure in extended XYZ format:
```
4
Lattice="0.000 3.033 3.033 3.033 0.000 3.033 3.033 3.033 0.000" Properties=species:S:1:pos:R:3 pbc="T T T"
Li 0.000 0.000 0.000
Mo 1.517 1.517 1.517
Mo 4.550 4.550 4.550
Cl 3.033 3.033 3.033
```

(2)
Material: ScAl2Ru
Method: DFT, GGA-PBE
State: relaxed

Values from the calculation:
theoretical density: 5.06 g/cm³
energy of formation: -445 meV per atom
DOS at the Fermi energy: 2.899 states/eV per cell
calculated volume: 16.4 Å³ per atom

The structure in extended XYZ format:
```
4
Lattice="-1.622 2.280 4.438 1.622 -2.280 4.438 1.622 2.280 -4.438" Properties=species:S:1:pos:R:3 pbc="T T T"
Sc 0.000 0.000 0.000
Al 1.622 0.000 2.402
Al 0.000 2.280 2.037
Ru 0.000 0.000 4.438
```

(3)
Material: IrRu3Rh4
Method: DFT, GGA-PBE
State: relaxed

Values from the calculation:
theoretical density: 12.93 g/cm³
energy of formation: 275 meV per atom
DOS at the Fermi energy: 13.298 states/eV per cell
calculated volume: 14.6 Å³ per atom

The structure in extended XYZ format:
```
8
Lattice="9.675 -2.233 0.000 9.675 2.233 0.000 -0.380 0.000 2.695" Properties=species:S:1:pos:R:3 pbc="T T T"
Ir 0.000 0.000 0.000
Ru 5.058 0.000 0.719
Ru 9.485 0.000 1.348
Ru 13.912 0.000 1.977
Rh 2.535 0.000 1.737
Rh 7.122 0.000 2.386
Rh 11.849 0.000 0.310
Rh 16.435 0.000 0.959
```

(4)
Material: BP2C
Method: DFT, GGA-PBE
State: relaxed

Values from the calculation:
theoretical density: 3.33 g/cm³
energy of formation: 182 meV per atom
DOS at the Fermi energy: 1.551 states/eV per cell
calculated volume: 10.6 Å³ per atom

The structure in extended XYZ format:
```
4
Lattice="3.044 0.000 0.000 -1.522 2.636 0.000 0.000 0.000 5.271" Properties=species:S:1:pos:R:3 pbc="T T T"
B 0.000 0.000 0.000
P 0.000 1.758 2.401
P 1.522 0.879 4.435
C 0.000 0.000 1.608
```

The highest calculated volume belongs to which entry?
ScAl2Ru

What is the formula in the second record?
ScAl2Ru

Which of these has the lowest theoretical density?
BP2C

What is the calculated volume in the third record?
14.6 Å³ per atom